Version P
## LaCrRh3 (PBE-GGA)

Data for crystalline LaCrRh3 at its relaxed geometry.

The structure belongs to space group Pm-3m (No. 221); the cell edges are 4.872, 4.872 and 4.872 Å and the angles 90.00°, 90.00° and 90.00°. The asymmetric unit holds La at (0.000, 0.000, 0.000), Cr at (0.500, 0.500, 0.500) and Rh at (0.000, 0.000, 0.500).

Its density of states at the Fermi level is 1.262 states/eV/atom. For the density, the calculation gives 7.17 g cm⁻³.

Version Q
## LaCrRh3 (PBE-GGA)

Data for crystalline LaCrRh3 at its relaxed geometry.

The structure belongs to space group Pm-3m (No. 221); the cell edges are 4.579, 4.579 and 4.579 Å and the angles 90.00°, 90.00° and 90.00°. The asymmetric unit holds La at (0.000, 0.000, 0.000), Cr at (0.500, 0.500, 0.500) and Rh at (0.000, 0.500, 0.500).

Its density of states at the Fermi level is 1.168 states/eV/atom. For the density, the calculation gives 8.64 g cm⁻³.

Which structure loses on stability? version P does.

Version P
## LaCrRu2 (PBE-GGA)

Data for crystalline LaCrRu2 at its relaxed geometry.

The structure belongs to space group I-42d (No. 122); the cell edges are 7.136, 7.136 and 6.049 Å and the angles 90.00°, 90.00° and 90.00°. The asymmetric unit holds La at (0.000, 0.000, 0.000), Cr at (0.000, 0.000, 0.500) and Ru at (0.179, 0.250, 0.625).

Its density of states at the Fermi level is 0.817 states/eV/atom. For the density, the calculation gives 8.48 g cm⁻³.

Version Q
## LaCrRu2 (PBE-GGA)

Data for crystalline LaCrRu2 at its relaxed geometry.

The structure belongs to space group P4/mmm (No. 123); the cell edges are 4.617, 4.617 and 3.381 Å and the angles 90.00°, 90.00° and 90.00°. The asymmetric unit holds La at (0.000, 0.000, 0.000), Cr at (0.500, 0.500, 0.000) and Ru at (0.000, 0.500, 0.500).

Its density of states at the Fermi level is 1.578 states/eV/atom. For the density, the calculation gives 9.06 g cm⁻³.

Which structure loses on stability? version P does.

Version P
## LaCrRu2 (PBE-GGA)

Data for crystalline LaCrRu2 at its relaxed geometry.

The structure belongs to space group Imm2 (No. 44); the cell edges are 3.069, 4.753 and 10.066 Å and the angles 90.00°, 90.00° and 90.00°. The asymmetric unit holds La at (0.000, 0.000, 0.000), Cr at (0.000, 0.500, 0.220), Ru at (0.000, 0.000, 0.487) and Ru at (0.000, 0.500, 0.770).

Its density of states at the Fermi level is 0.957 states/eV/atom. For the density, the calculation gives 8.89 g cm⁻³.

Version Q
## LaCrRu2 (PBE-GGA)

Data for crystalline LaCrRu2 at its relaxed geometry.

The structure belongs to space group R-3m (No. 166, hexagonal axes); the cell edges are 2.9375, 2.9375 and 27.3296 Å and the angles 90.00°, 90.00° and 120.00°. The asymmetric unit holds La at (0.0000, 0.0000, 0.0000), Cr at (0.0000, 0.0000, 0.5000) and Ru at (0.0000, 0.0000, 0.2345).

Its density of states at the Fermi level is 1.452 states/eV/atom. For the density, the calculation gives 9.59 g cm⁻³.

Version R
## LaCrRu2 (PBE-GGA)

Data for crystalline LaCrRu2 at its relaxed geometry.

The structure belongs to space group Fm-3m (No. 225); the cell edges are 6.568, 6.568 and 6.568 Å and the angles 90.00°, 90.00° and 90.00°. The asymmetric unit holds La at (0.000, 0.000, 0.000), Cr at (0.000, 0.000, 0.500) and Ru at (0.250, 0.250, 0.250).

Its density of states at the Fermi level is 1.308 states/eV/atom. For the density, the calculation gives 9.21 g cm⁻³.

Version S
## LaCrRu2 (PBE-GGA)

Data for crystalline LaCrRu2 at its relaxed geometry.

The structure belongs to space group F-43m (No. 216); the cell edges are 6.565, 6.565 and 6.565 Å and the angles 90.00°, 90.00° and 90.00°. The asymmetric unit holds La at (0.000, 0.000, 0.000), Cr at (0.250, 0.250, 0.750), Ru at (0.000, 0.000, 0.500) and Ru at (0.250, 0.250, 0.250).

Its density of states at the Fermi level is 1.517 states/eV/atom. For the density, the calculation gives 9.22 g cm⁻³.

Which structure loses on stability? version Q does.